# 1
First-principles (PBE) data for a geometry-optimized HICl3 structure, as listed in Alexandria via LeMat-Bulk.

Cell: 12.7905 3.4709 14.8912 Å, 90.00 94.75 90.00°
Last column: nearest neighbours and their distance in Å.
Atoms (fractional coordinates):
H1 0.1180 0.0818 0.2811  1 Cl 1.29
H2 0.1180 0.4182 0.7811  1 Cl 1.29
H3 0.8820 0.5818 0.2189  1 Cl 1.29
H4 0.8820 0.9182 0.7189  1 Cl 1.29
I1 0.3687 0.5636 0.6140  2 Cl 2.45-2.47
I2 0.3687 0.9364 0.1140  2 Cl 2.45-2.47
I3 0.6313 0.0636 0.8860  2 Cl 2.45-2.47
I4 0.6313 0.4364 0.3860  2 Cl 2.45-2.47
Cl1 0.1206 0.1357 0.8378  1 H 1.29
Cl2 0.1206 0.3643 0.3378  1 H 1.29
Cl3 0.1766 0.5687 0.6008  1 I 2.45
Cl4 0.1766 0.9313 0.1008  1 I 2.45
Cl5 0.4372 0.0615 0.8707  1 I 2.47
Cl6 0.4372 0.4385 0.3707  1 I 2.47
Cl7 0.5628 0.5615 0.6293  1 I 2.47
Cl8 0.5628 0.9385 0.1293  1 I 2.47
Cl9 0.8234 0.0687 0.8992  1 I 2.45
Cl10 0.8234 0.4313 0.3992  1 I 2.45
Cl11 0.8794 0.6357 0.6622  1 H 1.29
Cl12 0.8794 0.8643 0.1622  1 H 1.29

Energy above the most stable polymorph in this dataset = 0 meV per atom
Total DFT energy (no corrections) = -46.8 eV per cell
Space-group type = P2_1/c, No. 14

***

# 2
First-principles (PBE) data for a geometry-optimized CaTlIn2Ir structure, as listed in Alexandria via LeMat-Bulk.

Cell: 5.2024 5.2024 5.4584 Å, 90.00 90.00 90.00°
Last column: nearest neighbours and their distance in Å.
Atoms (fractional coordinates):
Ca1 0.0000 0.0000 0.0000  2 Ir 2.73
Tl1 0.5000 0.5000 0.0000  4 Ca 3.68, 8 In 3.77
In1 0.0000 0.5000 0.5000  2 Ir 2.60
In2 0.5000 0.0000 0.5000  2 Ir 2.60
Ir1 0.0000 0.0000 0.5000  4 In 2.60, 2 Ca 2.73

Total DFT energy (no corrections) = -19.7 eV per cell
Energy of formation = -0.20 eV/atom
Space-group type = P4/mmm, No. 123